(1)
Here is a geometry-optimized UCd3I2O6 structure from the Alexandria database. Energies are from PBE.

Unit cell a=12.0064 b=6.7429 c=5.9017 alpha=90.00 beta=104.36 gamma=90.00
Last column: nearest neighbours and their distance in Å.
Space group C2/m (No. 12)
Inequivalent atoms, fractional coordinates:
U (0.0000, 0.0000, 0.0000)  4 O 2.02
Cd (0.0000, 0.5000, 0.5000)  4 O 2.58
Cd (0.2500, 0.2500, 0.0000)  2 O 2.18
I (0.2255, 0.5000, 0.4003)  1 O 2.35
O (0.0443, 0.2158, 0.8016)  1 U 2.02
O (0.2033, 0.0000, 0.1907)  2 Cd 2.18, 1 I 2.35, 1 U 2.42

Values from the calculation:
Formation energy (no corrections) (eV per atom): -1.2545
Crystal system: monoclinic

---

(2)
Here is a geometry-optimized LiTmScNi structure from the Alexandria database. Energies are from PBE.

Unit cell a=6.6934 b=6.6934 c=6.6934 alpha=90.00 beta=90.00 gamma=90.00
Last column: nearest neighbours and their distance in Å.
Space group F-43m (No. 216)
Inequivalent atoms, fractional coordinates:
Li (0.0000, 0.0000, 0.0000)  4 Sc 2.90, 4 Tm 2.90
Tm (0.2500, 0.2500, 0.2500)  4 Li 2.90, 4 Ni 2.90
Sc (0.2500, 0.2500, 0.7500)  4 Ni 2.90, 4 Li 2.90
Ni (0.0000, 0.0000, 0.5000)  4 Tm 2.90, 4 Sc 2.90

Values from the calculation:
Calculated formation energy (kJ per mole of atoms): -17.1
Crystal system: cubic

---

(3)
Here is a geometry-optimized Ac2ZrTl3Te6 structure from the Alexandria database. Energies are from PBE.

Unit cell a=7.9777 b=13.7883 c=8.6219 alpha=90.00 beta=108.04 gamma=90.00
Last column: nearest neighbours and their distance in Å.
Space group C2/m (No. 12)
Inequivalent atoms, fractional coordinates:
Ac (0.0000, 0.1650, 0.0000)  6 Te 3.32-3.33
Zr (0.0000, 0.5000, 0.0000)  6 Te 3.00-3.04
Tl (0.0000, 0.0000, 0.5000)  6 Te 3.44-3.67
Tl (0.0000, 0.3255, 0.5000)  6 Te 3.44-3.63
Te (0.2237, 0.3485, 0.2185)  1 Zr 3.00, 2 Ac 3.32
Te (0.2263, 0.5000, 0.7732)  1 Zr 3.04, 2 Ac 3.33

Values from the calculation:
Formation energy (no corrections) (eV per atom): -0.9317
Crystal system: monoclinic

---

(4)
Here is a geometry-optimized CeGdThAg structure from the Alexandria database. Energies are from PBE.

Unit cell a=7.5031 b=7.5031 c=7.5031 alpha=90.00 beta=90.00 gamma=90.00
Last column: nearest neighbours and their distance in Å.
Space group F-43m (No. 216)
Inequivalent atoms, fractional coordinates:
Ce (0.0000, 0.0000, 0.0000)  4 Gd 3.25, 4 Th 3.25
Gd (0.2500, 0.2500, 0.7500)  4 Ce 3.25, 4 Ag 3.25
Th (0.2500, 0.2500, 0.2500)  4 Ce 3.25, 4 Ag 3.25
Ag (0.0000, 0.0000, 0.5000)  4 Gd 3.25, 4 Th 3.25

Values from the calculation:
Calculated formation energy (kJ per mole of atoms): 11.4
Crystal system: cubic

---

(5)
Here is a geometry-optimized LiYCd14 structure from the Alexandria database. Energies are from PBE.

Unit cell a=6.5012 b=6.5012 c=8.5737 alpha=90.00 beta=90.00 gamma=90.00
Last column: nearest neighbours and their distance in Å.
Space group P4/mmm (No. 123)
Inequivalent atoms, fractional coordinates:
Li (0.0000, 0.0000, 0.0000)  12 Cd 3.11-3.25
Y (0.5000, 0.5000, 0.0000)  12 Cd 3.19-3.25
Cd (0.0000, 0.0000, 0.5000)  12 Cd 3.09-3.25
Cd (0.0000, 0.5000, 0.0000)  8 Cd 3.15, 2 Y 3.25, 2 Li 3.25
Cd (0.0000, 0.5000, 0.5000)  12 Cd 3.14-3.25
Cd (0.2438, 0.2438, 0.2514)  10 Cd 3.09-3.33, 1 Li 3.11, 1 Y 3.19
Cd (0.5000, 0.5000, 0.5000)  12 Cd 3.18-3.25

Values from the calculation:
Calculated formation energy (kJ per mole of atoms): -9.8
Crystal system: tetragonal

---

(6)
Here is a geometry-optimized Tb2Nd2Y7 structure from the Alexandria database. Energies are from PBE.

Unit cell a=9.5189 b=9.3192 c=8.5126 alpha=90.00 beta=101.99 gamma=90.00
Last column: nearest neighbours and their distance in Å.
Space group C2/m (No. 12)
Inequivalent atoms, fractional coordinates:
Tb (0.0000, 0.1812, 0.0000)  1 Tb 3.38, 8 Y 3.44-3.71
Nd (0.1077, 0.5000, 0.3613)  7 Y 3.15-3.42, 1 Nd 3.43
Y (0.0000, 0.0000, 0.5000)  4 Y 3.57, 2 Nd 3.68
Y (0.1891, 0.5000, 0.0207)  1 Nd 3.15, 2 Y 3.39, 4 Tb 3.44-3.46
Y (0.1994, 0.2986, 0.6914)  3 Nd 3.34-3.42, 4 Y 3.39-3.71, 2 Tb 3.46-3.71

Values from the calculation:
Calculated formation energy (kJ per mole of atoms): 17.3
Crystal system: monoclinic
Energy above the most stable polymorph in this dataset (eV/atom): 0.024

---

(7)
Here is a geometry-optimized Sm2YErTm6 structure from the Alexandria database. Energies are from PBE.

Unit cell a=8.9207 b=14.9443 c=9.5331 alpha=90.00 beta=98.46 gamma=90.00
Last column: nearest neighbours and their distance in Å.
Space group C2/c (No. 15)
Inequivalent atoms, fractional coordinates:
Sm (0.2486, 0.0538, 0.0435)  6 Tm 3.23-3.59, 2 Y 3.34-3.36, 1 Er 3.52
Y (0.0000, 0.0195, 0.7500)  4 Sm 3.34-3.36, 4 Tm 3.55-3.64
Er (0.0000, 0.4077, 0.2500)  8 Tm 3.40-3.73, 2 Sm 3.52
Tm (0.0630, 0.1909, 0.4426)  7 Tm 3.36-3.68, 1 Sm 3.47, 1 Y 3.64, 1 Er 3.73
Tm (0.1044, 0.3941, 0.6188)  4 Tm 3.19-3.46, 3 Sm 3.23-3.38, 2 Er 3.40-3.51
Tm (0.2018, 0.2240, 0.8135)  2 Tm 3.19-3.51, 1 Sm 3.34, 1 Er 3.43, 1 Y 3.55

Values from the calculation:
Calculated formation energy (kJ per mole of atoms): 11.3
Crystal system: monoclinic

---

(8)
Here is a geometry-optimized Sr2AsRh2 structure from the Alexandria database. Energies are from PBE.

Unit cell a=10.0473 b=6.0066 c=7.8431 alpha=90.00 beta=101.63 gamma=90.00
Last column: nearest neighbours and their distance in Å.
Space group C2/c (No. 15)
Inequivalent atoms, fractional coordinates:
Sr (0.1502, 0.1290, 0.1479)  6 Rh 3.12-3.22, 2 As 3.35-3.45
As (0.0000, 0.4059, 0.7500)  4 Rh 2.50-2.52
Rh (0.1233, 0.3681, 0.5040)  2 As 2.50-2.52

Values from the calculation:
Calculated formation energy (kJ per mole of atoms): -61.5
Crystal system: monoclinic
Energy above the most stable polymorph in this dataset (eV/atom): 0.000

---

(9)
Here is a geometry-optimized Cd3RhSe structure from the Alexandria database. Energies are from PBE.

Unit cell a=5.1296 b=5.1296 c=5.1296 alpha=90.00 beta=90.00 gamma=90.00
Last column: nearest neighbours and their distance in Å.
Space group Pm-3m (No. 221)
Inequivalent atoms, fractional coordinates:
Cd (0.0000, 0.0000, 0.5000)  2 Rh 2.56
Rh (0.0000, 0.0000, 0.0000)  6 Cd 2.56
Se (0.5000, 0.5000, 0.5000)  12 Cd 3.63

Values from the calculation:
Formation energy (no corrections) (eV per atom): 0.3270
Crystal system: cubic
Energy above the most stable polymorph in this dataset (eV/atom): 0.000

---

(10)
Here is a geometry-optimized TaMo3 structure from the Alexandria database. Energies are from PBE.

Unit cell a=3.1962 b=4.5279 c=18.1064 alpha=90.00 beta=90.00 gamma=90.00
Last column: nearest neighbours and their distance in Å.
Space group Imma (No. 74)
Inequivalent atoms, fractional coordinates:
Ta (0.0000, 0.2500, 0.0626)  8 Mo 2.77-2.82
Mo (0.0000, 0.2500, 0.3094)  6 Mo 2.68-2.77, 2 Ta 2.81
Mo (0.0000, 0.2500, 0.5656)  2 Mo 2.72, 6 Ta 2.77-2.82
Mo (0.0000, 0.2500, 0.8129)  8 Mo 2.72-2.78

Values from the calculation:
Calculated formation energy (kJ per mole of atoms): -15.7
Crystal system: orthorhombic

---

| no. | total magnetization (μB/atom) |
| --- | --- |
| 1 | 0.00 |
| 2 | 0.00 |
| 3 | 0.09 |
| 4 | 2.11 |
| 5 | 0.00 |
| 6 | 0.00 |
| 7 | 0.00 |
| 8 | 0.00 |
| 9 | 0.00 |
| 10 | 0.00 |